# TbErAl2S6

A relaxed TbErAl2S6 crystal (GGA-PBE, the Alexandria database).

Total magnetization in μB/cell: 0.0
Total energy in Ha/atom: -0.2079
ΔE_f (raw) in meV per atom: -1514
V in Å³/f.u.: 228
Density in kg/m3: 4173

a b c (Å): 6.4153 6.4153 19.1753
angles (deg): 90.00 90.00 120.00
Last column: nearest neighbours and their distance in Å.
Space group R-3 (No. 148, hexagonal axes)
One atom of each set of equivalent atoms:
Tb1 0.0000 0.0000 0.0000 x3  6 S 2.72
Er1 0.0000 0.0000 0.5000 x3  6 S 2.70
Al1 0.0000 0.0000 0.3265 x6  6 S 2.43-2.52
S1 0.0071 0.6382 0.0723 x18  2 Al 2.43-2.52, 1 Er 2.70